Record 1
# LiCaSbTe2

A geometry-optimized LiCaSbTe2 structure (PBE, the Alexandria database).

Cell lengths 5.885, 5.885, 5.775 Å; angles 90.00, 90.00, 90.00 degrees
Space group P4/mmm (No. 123)
One atom of each set of equivalent atoms:
Li 0.000 0.000 0.000 [1 per cell]
Ca 0.500 0.500 0.500 [1 per cell]
Sb 0.500 0.500 0.000 [1 per cell]
Te 0.000 0.500 0.500 [2 per cell]

- magnetic moment (μB/f.u.) = 0.000
- ΔE to the lowest computed polymorph (eV per atom) = 0.356
- Fermi-level density of states (states/eV/f.u.) = 4.84
- crystal system = tetragonal
- uncorrected formation energy (eV per formula unit) = -0.068


Record 2
# LiCaSbTe2

A geometry-optimized LiCaSbTe2 structure (PBE, the Alexandria database).

Cell lengths 5.443, 5.443, 4.801 Å; angles 90.00, 90.00, 90.00 degrees
Space group P4/mmm (No. 123)
One atom of each set of equivalent atoms:
Li 0.000 0.000 0.000 [1 per cell]
Ca 0.500 0.500 0.500 [1 per cell]
Sb 0.000 0.000 0.500 [1 per cell]
Te 0.000 0.500 0.000 [2 per cell]

- magnetic moment (μB/f.u.) = 0.000
- ΔE to the lowest computed polymorph (eV per atom) = 0.000
- Fermi-level density of states (states/eV/f.u.) = 3.07
- crystal system = tetragonal
- uncorrected formation energy (eV per formula unit) = -1.846


Record 3
# LiCaSb2Te

A geometry-optimized LiCaSb2Te structure (PBE, the Alexandria database).

Cell lengths 5.799, 5.799, 5.822 Å; angles 90.00, 90.00, 90.00 degrees
Space group P4/mmm (No. 123)
One atom of each set of equivalent atoms:
Li 0.000 0.000 0.000 [1 per cell]
Ca 0.500 0.500 0.500 [1 per cell]
Sb 0.000 0.500 0.500 [2 per cell]
Te 0.500 0.500 0.000 [1 per cell]

- magnetic moment (μB/f.u.) = 0.000
- ΔE to the lowest computed polymorph (eV per atom) = 0.431
- Fermi-level density of states (states/eV/f.u.) = 4.31
- crystal system = tetragonal
- uncorrected formation energy (eV per formula unit) = 0.921


Record 4
# LiCaTlSb

A geometry-optimized LiCaTlSb structure (PBE, the Alexandria database).

Cell lengths 7.488, 7.488, 7.488 Å; angles 90.00, 90.00, 90.00 degrees
Space group F-43m (No. 216)
One atom of each set of equivalent atoms:
Li 0.000 0.000 0.000 [4 per cell]
Ca 0.000 0.000 0.500 [4 per cell]
Tl 0.250 0.250 0.750 [4 per cell]
Sb 0.250 0.250 0.250 [4 per cell]

- magnetic moment (μB/f.u.) = 0.000
- Fermi-level density of states (states/eV/f.u.) = 3.60
- crystal system = cubic
- uncorrected formation energy (eV per formula unit) = -1.877